Entry 1:
ZrBeBr2 after structural relaxation, computed with GGA-PBE.

The structure belongs to space group Imm2 (No. 44); the cell edges are 3.2957, 4.8731 and 13.8512 Å and the angles 90.00°, 90.00° and 90.00°. The asymmetric unit holds Zr at (0.0000, 0.0000, 0.0000), Be at (0.0000, 0.5000, 0.6454), Br at (0.0000, 0.0000, 0.5454) and Br at (0.0000, 0.5000, 0.3426).

Its distance to the lowest polymorph of the same formula is 433 meV/atom. For the density of states at the Fermi level, the calculation gives 0.306 states/eV per atom. Its formation energy without anion corrections is -0.080 eV/atom.

***

Entry 2:
ZrBeBr2 after structural relaxation, computed with GGA-PBE.

The structure belongs to space group I-42d (No. 122); the cell edges are 5.9222, 5.9222 and 10.2459 Å and the angles 90.00°, 90.00° and 90.00°. The asymmetric unit holds Zr at (0.0000, 0.0000, 0.0000), Be at (0.0000, 0.0000, 0.5000) and Br at (0.1749, 0.2500, 0.6250).

Its distance to the lowest polymorph of the same formula is 849 meV/atom. For the density of states at the Fermi level, the calculation gives 0.279 states/eV per atom. Its formation energy without anion corrections is 0.336 eV/atom.

***

Entry 3:
ZrBe2Br after structural relaxation, computed with GGA-PBE.

The structure belongs to space group Pmmm (No. 47); the cell edges are 3.6661, 3.8645 and 4.5142 Å and the angles 90.00°, 90.00° and 90.00°. The asymmetric unit holds Zr at (0.0000, 0.0000, 0.0000), Be at (0.0000, 0.5000, 0.5000), Be at (0.5000, 0.5000, 0.0000) and Br at (0.5000, 0.0000, 0.5000).

Its distance to the lowest polymorph of the same formula is 366 meV/atom. For the density of states at the Fermi level, the calculation gives 0.587 states/eV per atom. Its formation energy without anion corrections is 0.464 eV/atom.

***

Entry 4:
ZrBe2Br after structural relaxation, computed with GGA-PBE.

The structure belongs to space group I-42d (No. 122); the cell edges are 7.1216, 7.1216 and 5.2735 Å and the angles 90.00°, 90.00° and 90.00°. The asymmetric unit holds Zr at (0.0000, 0.0000, 0.0000), Be at (0.2290, 0.2500, 0.6250) and Br at (0.0000, 0.0000, 0.5000).

Its distance to the lowest polymorph of the same formula is 461 meV/atom. For the density of states at the Fermi level, the calculation gives 0.738 states/eV per atom. Its formation energy without anion corrections is 0.559 eV/atom.

***

Entry 5:
ZrBeBr2 after structural relaxation, computed with GGA-PBE.

The structure belongs to space group Cmmm (No. 65); the cell edges are 6.2168, 7.8490 and 3.3418 Å and the angles 90.00°, 90.00° and 90.00°. The asymmetric unit holds Zr at (0.0000, 0.0000, 0.0000), Be at (0.0000, 0.5000, 0.0000) and Br at (0.2500, 0.2500, 0.5000).

Its distance to the lowest polymorph of the same formula is 830 meV/atom. For the density of states at the Fermi level, the calculation gives 0.867 states/eV per atom. Its formation energy without anion corrections is 0.317 eV/atom.

***

Entry 6:
ZrBe3Br after structural relaxation, computed with GGA-PBE.

The structure belongs to space group Pm-3m (No. 221); the cell edges are 5.0769, 5.0769 and 5.0769 Å and the angles 90.00°, 90.00° and 90.00°. The asymmetric unit holds Zr at (0.0000, 0.0000, 0.0000), Be at (0.0000, 0.0000, 0.5000) and Br at (0.5000, 0.5000, 0.5000).

Its distance to the lowest polymorph of the same formula is 445 meV/atom. For the density of states at the Fermi level, the calculation gives 0.633 states/eV per atom. Its formation energy without anion corrections is 1.698 eV/atom.

***

> formation energy without anion corrections of number 3 (ZrBe2Br)?

0.464 eV/atom

***

> Which of these has the highest formation energy without anion corrections?

ZrBe3Br